! Mn4BeW | Alexandria | GGA-PBE | optimized geometry; values from VASP
&SYSTEM
  ibrav = 0, nat = 6, ntyp = 3
/
ATOMIC_SPECIES
W 183.84 W.upf
Mn 54.94 Mn.upf
Be 9.01 Be.upf
CELL_PARAMETERS angstrom
-0.777 2.170 4.022
0.086 4.631 0.189
-3.935 2.367 0.635
ATOMIC_POSITIONS angstrom
W -3.470 6.877 3.635
Mn -2.122 4.523 3.841
Mn -1.687 5.764 1.908
Mn -3.715 4.622 2.132
Mn -1.730 3.428 1.812
Be 0.000 0.000 0.000
! total magnetic moment: 2.34 μB/f.u.
! final energy: -52.81 eV/cell
! E_form: 0.092 eV per atom
! SG: F-43m

! MnBeW2 | Alexandria | GGA-PBE | optimized geometry; values from VASP
&SYSTEM
  ibrav = 0, nat = 4, ntyp = 3
/
ATOMIC_SPECIES
W 183.84 W.upf
Mn 54.94 Mn.upf
Be 9.01 Be.upf
CELL_PARAMETERS angstrom
-1.958 3.286 -0.598
-3.267 -2.031 -0.469
-0.642 0.241 3.429
ATOMIC_POSITIONS angstrom
W 0.000 0.000 0.000
W -2.612 0.627 -0.534
Mn -1.955 -0.895 1.480
Be -1.300 1.763 1.416
! total magnetic moment: 0.80 μB/f.u.
! final energy: -38.06 eV/cell
! E_form: 0.185 eV per atom
! SG: P4/mmm

! MnBe2W2 | Alexandria | GGA-PBE | optimized geometry; values from VASP
&SYSTEM
  ibrav = 0, nat = 5, ntyp = 3
/
ATOMIC_SPECIES
W 183.84 W.upf
Mn 54.94 Mn.upf
Be 9.01 Be.upf
CELL_PARAMETERS angstrom
-2.050 -1.921 -0.592
1.841 -1.456 -1.654
1.989 -5.743 4.778
ATOMIC_POSITIONS angstrom
W 1.437 -6.565 2.394
W 0.343 -2.555 0.138
Mn 0.000 0.000 0.000
Be -0.083 -4.676 1.531
Be 1.863 -4.444 1.001
! total magnetic moment: 0.00 μB/f.u.
! final energy: -40.67 eV/cell
! E_form: 0.371 eV per atom
! SG: I4/mmm
! excess energy over the best structure of this formula in the dataset: 482 meV per atom

! Mn2BeW | Alexandria | GGA-PBE | optimized geometry; values from VASP
&SYSTEM
  ibrav = 0, nat = 4, ntyp = 3
/
ATOMIC_SPECIES
Mn 54.94 Mn.upf
Be 9.01 Be.upf
W 183.84 W.upf
CELL_PARAMETERS angstrom
3.928 0.000 0.000
0.000 2.602 -0.017
0.000 1.039 4.627
ATOMIC_POSITIONS angstrom
Mn 1.964 0.827 1.010
Mn 0.000 2.484 0.023
Be 1.964 3.001 3.475
W 0.000 1.753 2.389
! total magnetic moment: 0.91 μB/f.u.
! final energy: -34.60 eV/cell
! E_form: 0.104 eV per atom
! SG: Pm

! Mn2BeW2 | Alexandria | GGA-PBE | optimized geometry; values from VASP
&SYSTEM
  ibrav = 0, nat = 5, ntyp = 3
/
ATOMIC_SPECIES
W 183.84 W.upf
Mn 54.94 Mn.upf
Be 9.01 Be.upf
CELL_PARAMETERS angstrom
5.085 -0.725 -2.033
4.152 -0.543 3.602
-5.011 -2.197 -0.758
ATOMIC_POSITIONS angstrom
W 2.346 -1.777 -1.003
W 1.880 -1.687 1.814
Mn 3.584 -0.492 0.609
Mn 5.652 -0.776 0.960
Be 0.000 0.000 0.000
! total magnetic moment: 0.00 μB/f.u.
! final energy: -44.23 eV/cell
! E_form: 0.749 eV per atom
! SG: I4/mmm

! MnBeW4 | Alexandria | GGA-PBE | optimized geometry; values from VASP
&SYSTEM
  ibrav = 0, nat = 6, ntyp = 3
/
ATOMIC_SPECIES
W 183.84 W.upf
Be 9.01 Be.upf
Mn 54.94 Mn.upf
CELL_PARAMETERS angstrom
0.271 2.097 4.756
-3.785 3.157 1.672
-3.257 -1.591 3.735
ATOMIC_POSITIONS angstrom
W -4.425 2.945 4.650
W -4.162 0.586 5.675
W -2.410 2.418 6.182
W -2.544 1.376 3.819
Be -5.078 2.747 7.622
Mn 0.000 0.000 0.000
! total magnetic moment: 1.86 μB/f.u.
! final energy: -59.93 eV/cell
! E_form: 0.796 eV per atom
! SG: F-43m

! MnBe2W2 | Alexandria | GGA-PBE | optimized geometry; values from VASP
&SYSTEM
  ibrav = 0, nat = 10, ntyp = 3
/
ATOMIC_SPECIES
Be 9.01 Be.upf
W 183.84 W.upf
Mn 54.94 Mn.upf
CELL_PARAMETERS angstrom
-7.019 -0.358 -0.878
0.891 -0.236 -7.023
0.119 -2.573 0.101
ATOMIC_POSITIONS angstrom
Be -5.478 -1.662 -3.003
Be -0.532 -1.505 -4.797
Be -2.112 -1.445 -1.428
Be -3.897 -1.722 -6.372
W -4.302 -0.256 -1.461
W -5.551 -0.460 -5.184
W -1.826 -0.338 -6.441
W -0.577 -0.134 -2.717
Mn -3.064 -0.297 -3.951
Mn 0.000 0.000 0.000
! total magnetic moment: 0.00 μB/f.u.
! final energy: -78.26 eV/cell
! E_form: 0.680 eV per atom
! SG: P4/mbm
! excess energy over the best structure of this formula in the dataset: 791 meV per atom

! MnBeW2 | Alexandria | GGA-PBE | optimized geometry; values from VASP
&SYSTEM
  ibrav = 0, nat = 4, ntyp = 3
/
ATOMIC_SPECIES
W 183.84 W.upf
Mn 54.94 Mn.upf
Be 9.01 Be.upf
CELL_PARAMETERS angstrom
4.744 0.058 0.000
1.802 4.389 0.000
-3.273 -2.224 2.618
ATOMIC_POSITIONS angstrom
W 3.273 2.224 0.000
W 0.000 0.000 0.000
Mn 2.372 0.029 1.309
Be 0.901 2.195 1.309
! total magnetic moment: 1.70 μB/f.u.
! final energy: -37.78 eV/cell
! E_form: 0.256 eV per atom
! SG: I4/mmm

! Mn2BeW | Alexandria | GGA-PBE | optimized geometry; values from VASP
&SYSTEM
  ibrav = 0, nat = 4, ntyp = 3
/
ATOMIC_SPECIES
Mn 54.94 Mn.upf
W 183.84 W.upf
Be 9.01 Be.upf
CELL_PARAMETERS angstrom
8.253 0.030 0.018
7.805 2.683 0.018
7.805 1.318 2.336
ATOMIC_POSITIONS angstrom
Mn 11.697 1.976 1.163
Mn 0.234 0.039 0.023
W 5.966 1.008 0.593
Be 17.897 3.023 1.779
! total magnetic moment: 4.65 μB/f.u.
! final energy: -33.70 eV/cell
! E_form: 0.331 eV per atom
! SG: R-3m

! YMn2Be | Alexandria | GGA-PBE | optimized geometry; values from VASP
&SYSTEM
  ibrav = 0, nat = 4, ntyp = 3
/
ATOMIC_SPECIES
Mn 54.94 Mn.upf
Y 88.91 Y.upf
Be 9.01 Be.upf
CELL_PARAMETERS angstrom
-2.260 0.957 3.791
1.909 -0.763 4.021
1.290 3.473 2.583
ATOMIC_POSITIONS angstrom
Mn 0.000 0.000 0.000
Mn 0.235 0.917 2.599
Y 0.704 2.750 7.796
Be 0.470 1.833 5.197
! total magnetic moment: 0.93 μB/f.u.
! final energy: -27.15 eV/cell
! E_form: 0.344 eV per atom
! SG: F-43m

! YMn2Be | Alexandria | GGA-PBE | optimized geometry; values from VASP
&SYSTEM
  ibrav = 0, nat = 4, ntyp = 3
/
ATOMIC_SPECIES
Y 88.91 Y.upf
Mn 54.94 Mn.upf
Be 9.01 Be.upf
CELL_PARAMETERS angstrom
3.990 -0.001 0.000
0.001 3.990 0.000
0.000 0.000 3.878
ATOMIC_POSITIONS angstrom
Y 1.995 0.000 1.939
Mn 1.995 1.995 0.000
Mn 0.000 0.000 0.000
Be 0.000 1.995 1.939
! total magnetic moment: 4.82 μB/f.u.
! final energy: -27.10 eV/cell
! E_form: 0.357 eV per atom
! SG: P4/mmm

! YMnBe3 | Alexandria | GGA-PBE | optimized geometry; values from VASP
&SYSTEM
  ibrav = 0, nat = 5, ntyp = 3
/
ATOMIC_SPECIES
Be 9.01 Be.upf
Mn 54.94 Mn.upf
Y 88.91 Y.upf
CELL_PARAMETERS angstrom
4.130 0.000 0.000
0.000 4.130 0.000
0.000 0.000 4.130
ATOMIC_POSITIONS angstrom
Be 0.000 0.000 2.065
Be 2.065 0.000 0.000
Be 0.000 2.065 0.000
Mn 0.000 0.000 0.000
Y 2.065 2.065 2.065
! total magnetic moment: 0.00 μB/f.u.
! final energy: -25.93 eV/cell
! E_form: 0.176 eV per atom
! SG: Pm-3m